First-principles (PBE-GGA) data for an optimized crystal structure of ZrMnCl2, as listed in Alexandria via LeMat-Bulk.

## Properties
**Uncorrected energy**: -5.54 eV/atom
**V**: 72.1 Å³/cell
**Theoretical density**: 5.00 g/cm³
**E_form (uncorrected)**: -185 meV per atom
**Energy above the most stable polymorph in this dataset**: 0.651 eV per atom

abc: 4.9635 4.9635 4.9635
angles: 128.88 128.88 75.20
Element x y z (fractional)
Zr (0.0000, 0.0000, 0.0000)
Mn (0.5000, 0.5000, 0.0000)
Cl (0.2500, 0.7500, 0.5000)
Cl (0.7500, 0.2500, 0.5000)

=====

First-principles (PBE-GGA) data for an optimized crystal structure of ZrMnCl2, as listed in Alexandria via LeMat-Bulk.

## Properties
**Uncorrected energy**: -6.19 eV/atom
**V**: 90.6 Å³/cell
**Theoretical density**: 3.98 g/cm³
**E_form (uncorrected)**: -836 meV per atom
**Energy above the most stable polymorph in this dataset**: 0.000 eV per atom

abc: 9.2780 9.2780 9.2780
angles: 21.10 21.10 21.10
Element x y z (fractional)
Zr (0.0000, 0.0000, 0.0000)
Mn (0.2530, 0.2530, 0.2530)
Cl (0.5300, 0.5300, 0.5300)
Cl (0.7309, 0.7309, 0.7309)

=====

First-principles (PBE-GGA) data for an optimized crystal structure of ZrMn2Cl, as listed in Alexandria via LeMat-Bulk.

## Properties
**Uncorrected energy**: -7.35 eV/atom
**V**: 80.4 Å³/cell
**Theoretical density**: 4.89 g/cm³
**E_form (uncorrected)**: -162 meV per atom
**Energy above the most stable polymorph in this dataset**: 0.002 eV per atom

abc: 3.0565 3.0565 8.6021
angles: 90.00 90.00 90.00
Element x y z (fractional)
Zr (0.0000, 0.0000, 0.0000)
Mn (0.0000, 0.0000, 0.6267)
Mn (0.5000, 0.5000, 0.7680)
Cl (0.5000, 0.5000, 0.1992)

=====

First-principles (PBE-GGA) data for an optimized crystal structure of ZrMn2Cl, as listed in Alexandria via LeMat-Bulk.

## Properties
**Uncorrected energy**: -6.87 eV/atom
**V**: 68.7 Å³/cell
**Theoretical density**: 5.71 g/cm³
**E_form (uncorrected)**: 312 meV per atom
**Energy above the most stable polymorph in this dataset**: 0.476 eV per atom

abc: 5.4343 5.4343 5.4343
angles: 138.87 138.87 59.57
Element x y z (fractional)
Zr (0.0000, 0.0000, 0.0000)
Mn (0.2500, 0.7500, 0.5000)
Mn (0.7500, 0.2500, 0.5000)
Cl (0.5000, 0.5000, 0.0000)